No. 1
MgScB2 | PBE | relaxed

POSCAR file:
```
MgScB2
1.0
-0.628 2.826 -2.608
-1.829 -2.544 -2.316
-7.867 1.809 0.946
Mg Sc B
2 2 4
Cartesian
-1.229 0.141 -2.462
-5.462 -0.297 -1.916
-4.862 2.388 -2.062
0.000 0.000 0.000
-7.593 2.240 -3.020
-2.431 1.194 -1.031
-7.279 0.827 -1.716
-3.345 -0.078 -2.189
```

Summary:
E_tot: -4.5656 eV/atom
space-group type: I4_1/amd, No. 141
N(E_F): 2.4 states/eV/f.u.
E_form: 0.7546 eV per atom



No. 2
MgScB2 | PBE | relaxed

POSCAR file:
```
MgScB2
1.0
5.412 0.000 0.027
0.000 3.139 0.000
-1.303 0.000 12.406
B Sc Mg
8 4 4
Cartesian
2.812 0.000 3.163
2.161 1.569 9.366
4.004 1.569 9.360
1.949 1.569 3.067
0.106 1.569 3.073
1.298 0.000 9.270
-0.545 0.000 9.276
4.655 0.000 3.157
1.029 0.000 1.405
3.732 1.569 4.825
0.378 1.569 7.608
3.081 0.000 11.028
1.021 0.000 4.817
3.741 1.569 1.413
3.089 0.000 7.616
0.369 1.569 11.020
```

Summary:
E_tot: -5.7121 eV/atom
space-group type: C2/m, No. 12
N(E_F): 1.3 states/eV/f.u.
E_form: -0.3918 eV per atom



No. 3
MgScB2 | PBE | relaxed

POSCAR file:
```
MgScB2
1.0
8.870 0.000 -0.009
0.000 3.121 0.000
-3.984 0.000 8.046
B Sc Mg
8 4 4
Cartesian
-0.356 0.000 3.570
7.987 0.000 0.223
-2.348 1.561 7.593
-3.101 0.000 7.815
5.242 0.000 4.467
-1.109 1.561 3.792
5.995 1.561 4.246
7.234 1.561 0.444
6.475 0.000 2.262
-1.589 0.000 5.775
4.483 1.561 6.285
0.403 1.561 1.752
3.752 1.561 3.286
1.134 1.561 4.751
3.126 0.000 0.728
1.759 0.000 7.309
```

Summary:
E_tot: -5.6843 eV/atom
space-group type: C2/m, No. 12
N(E_F): 1.8 states/eV/f.u.
E_form: -0.3641 eV per atom



No. 4
MgScB2 | PBE | relaxed

POSCAR file:
```
MgScB2
1.0
-4.266 5.670 0.062
-0.093 -0.036 -3.162
-5.722 -7.337 0.251
Sc B Mg
4 8 4
Cartesian
-7.235 0.164 -1.371
-4.327 3.850 0.084
-5.661 -5.516 0.229
-2.847 -1.866 -1.478
-5.418 2.072 -1.446
-9.127 -1.632 -1.295
-6.220 2.054 0.160
-0.954 -0.070 -1.554
-3.769 -3.720 0.153
-8.232 -1.579 0.260
-1.756 -0.087 0.053
-4.664 -3.774 -1.403
-7.427 -3.256 -1.327
-2.654 1.554 -1.522
-4.520 0.431 0.128
-5.469 -2.097 0.185
```

Summary:
E_tot: -5.7159 eV/atom
space-group type: C2/m, No. 12
N(E_F): 1.3 states/eV/f.u.
E_form: -0.3957 eV per atom



No. 5
MgSc3B | PBE | relaxed

POSCAR file:
```
MgSc3B
1.0
4.757 0.000 0.000
0.000 4.757 0.000
0.000 0.000 4.757
Sc Mg B
3 1 1
Cartesian
0.000 0.000 2.378
2.378 0.000 0.000
0.000 2.378 0.000
2.378 2.378 2.378
0.000 0.000 0.000
```

Summary:
E_tot: -5.5488 eV/atom
space-group type: Pm-3m, No. 221
offset from the most stable computed form: 0 meV/atom
N(E_F): 7.8 states/eV/f.u.
E_form: -0.0955 eV per atom



No. 6
MgScB2 | PBE | relaxed

POSCAR file:
```
MgScB2
1.0
-0.890 -2.204 2.094
-0.923 -0.222 -3.022
14.994 -9.730 -3.867
Mg B Sc
3 6 3
Cartesian
12.562 -9.626 -4.792
7.575 -7.044 -1.797
3.478 -2.257 -0.897
12.050 -7.820 -3.108
1.126 -2.205 -1.842
1.153 -2.876 -0.141
11.133 -9.353 -2.715
7.036 -4.566 -1.815
6.140 -5.459 -3.135
4.807 -5.248 -1.084
9.794 -7.830 -4.078
0.711 -0.461 -0.183
```

Summary:
E_tot: -5.7031 eV/atom
space-group type: R3m, No. 160
N(E_F): 1.5 states/eV/f.u.
E_form: -0.3828 eV per atom